## SrDyCu2Sb2 (PBE)

Data for an optimized crystal structure of SrDyCu2Sb2.

Structure (extended XYZ):
```
6
Lattice="4.446 0.000 0.000 -2.223 3.851 0.000 0.000 0.000 8.497" Properties=species:S:1:pos:R:3 pbc="T T T"
Sr 0.000 0.000 0.000
Dy 0.000 0.000 4.249
Cu 0.000 2.567 5.916
Cu 2.223 1.284 2.582
Sb 0.000 2.567 2.240
Sb 2.223 1.284 6.257
```

Values from the calculation:
Calculated total energy in eV per atom: -4.478
Formation energy from raw total energies in meV per atom: -692
Space-group type: No. 164